Below is Tb5Dy3Sc after structural relaxation, with properties calculated at the PBE-GGA level.

Output
DOS at the Fermi energy   1.402 states/eV/atom
Formation energy   0.59 eV/atom
Crystal system   monoclinic
VASP energy   -4.220 eV per atom

CIF file:
```
data_Tb5Dy3Sc
_chemical_formula_sum 'Tb20 Dy12 Sc4'
_space_group_name_H-M_alt 'C 1 2/m 1'
_space_group_IT_number 12
_cell_length_a 12.078
_cell_length_b 11.177
_cell_length_c 11.429
_cell_angle_alpha 90.00
_cell_angle_beta 119.73
_cell_angle_gamma 90.00
loop_
_space_group_symop_operation_xyz
'x,y,z'
'-x,-y,-z'
'-x,y,-z'
'x,-y,z'
'x+1/2,y+1/2,z'
'-x+1/2,-y+1/2,-z'
'-x+1/2,y+1/2,-z'
'x+1/2,-y+1/2,z'
loop_
_atom_site_label
_atom_site_fract_x
_atom_site_fract_y
_atom_site_fract_z
Tb1 0.000 0.217 0.000
Tb2 0.007 0.000 0.373
Tb3 0.173 0.245 0.798
Tb4 0.179 0.000 0.955
Dy1 0.000 0.500 0.000
Dy2 0.000 0.500 0.500
Dy3 0.181 0.000 0.242
Dy4 0.218 0.500 0.344
Sc1 0.068 0.500 0.789
```